Material: Al2ZnAu6
Method: DFT, PBE
State: optimized geometry

CIF file:
```
data_Al2ZnAu6
_chemical_formula_sum 'Al2 Zn1 Au6'
_cell_length_a 4.250
_cell_length_b 6.018
_cell_length_c 6.640
_cell_angle_alpha 84.21
_cell_angle_beta 72.65
_cell_angle_gamma 70.07
_space_group_name_H-M_alt 'P -1'
_space_group_IT_number 2
loop_
_space_group_symop_operation_xyz
'x,y,z'
'-x,-y,-z'
loop_
_atom_site_label
_atom_site_type_symbol
_atom_site_fract_x
_atom_site_fract_y
_atom_site_fract_z
Al1 Al 0.164 0.000 0.174
Zn1 Zn 0.500 0.000 0.500
Au1 Au 0.152 0.689 0.499
Au2 Au 0.185 0.300 0.838
Au3 Au 0.476 0.700 0.837
```

* Fermi-level density of states: 1.98 states/eV/cell
* calculated volume: 16.9 A^3/atom
* ΔE_f: -0.24 eV per atom
* uncorrected energy: -30.57 eV for the cell shown